# 1
The following is a GGA-PBE calculation of a geometry-optimized Y6P5F structure, from the Alexandria database.

Output
**Total magnetization**: 0.00 Bohr magnetons per cell
**Uncorrected formation energy**: -1793 meV/atom
**Total energy**: -89.2 eV/cell
**Crystal system**: monoclinic

Lattice parameters (Å, degrees): 6.8692 6.8817 6.8723 59.95 80.38 70.51
Atoms (fractional coordinates):
P: 0.0000 0.6670 0.6661
P: 0.5000 0.1648 0.6704
P: 0.5000 0.8352 0.3296
P: 0.5000 0.5000 0.0000
P: 0.0000 0.3330 0.3339
Y: 0.2562 0.2573 0.0000
Y: 0.7461 0.0846 0.3417
Y: 0.2539 0.9154 0.6583
Y: 0.2539 0.5737 0.3417
Y: 0.7461 0.4263 0.6583
Y: 0.7438 0.7427 0.0000
F: 0.0000 0.0000 0.0000

***

# 2
The following is a GGA-PBE calculation of a geometry-optimized YP3F structure, from the Alexandria database.

Output
**Total magnetization**: 0.00 Bohr magnetons per cell
**Uncorrected formation energy**: 649 meV/atom
**Total energy**: -21.3 eV/cell
**Crystal system**: cubic

Lattice parameters (Å, degrees): 5.2577 5.2577 5.2577 90.00 90.00 90.00
Atoms (fractional coordinates):
P: 0.0000 0.5000 0.0000
P: 0.0000 0.0000 0.5000
P: 0.5000 0.0000 0.0000
Y: 0.0000 0.0000 0.0000
F: 0.5000 0.5000 0.5000

***

# 3
The following is a GGA-PBE calculation of a geometry-optimized Y2P2F structure, from the Alexandria database.

Output
**Total magnetization**: 0.00 Bohr magnetons per cell
**Uncorrected formation energy**: -1385 meV/atom
**Total energy**: -32.5 eV/cell
**Crystal system**: tetragonal

Lattice parameters (Å, degrees): 5.1409 5.1409 5.5824 62.58 62.58 90.00
Atoms (fractional coordinates):
Y: 0.2500 0.7500 0.5000
Y: 0.7500 0.2500 0.5000
P: 0.3695 0.3695 0.2609
P: 0.6305 0.6305 0.7391
F: 0.0000 0.0000 0.0000

***

# 4
The following is a GGA-PBE calculation of a geometry-optimized YPF2 structure, from the Alexandria database.

Output
**Total magnetization**: 0.00 Bohr magnetons per cell
**Uncorrected formation energy**: -2196 meV/atom
**Total energy**: -24.4 eV/cell
**Crystal system**: trigonal

Lattice parameters (Å, degrees): 6.2074 6.2074 6.2074 35.45 35.45 35.45
Atoms (fractional coordinates):
P: 0.5000 0.5000 0.5000
Y: 0.0000 0.0000 0.0000
F: 0.7010 0.7010 0.7010
F: 0.2990 0.2990 0.2990

***

# 5
The following is a GGA-PBE calculation of a geometry-optimized Y2PF structure, from the Alexandria database.

Output
**Total magnetization**: 0.00 Bohr magnetons per cell
**Uncorrected formation energy**: -1619 meV/atom
**Total energy**: -53.4 eV/cell
**Crystal system**: tetragonal

Lattice parameters (Å, degrees): 5.7472 5.7472 7.2273 66.57 66.57 90.00
Atoms (fractional coordinates):
P: 0.0000 0.0000 0.0000
P: 0.7500 0.2500 0.5000
F: 0.2500 0.7500 0.5000
F: 0.5000 0.5000 0.0000
Y: 0.5928 0.1250 0.2500
Y: 0.8750 0.8428 0.7500
Y: 0.3750 0.4072 0.7500
Y: 0.1572 0.6250 0.2500

***

# 6
The following is a GGA-PBE calculation of a geometry-optimized YPF2 structure, from the Alexandria database.

Output
**Total magnetization**: 0.00 Bohr magnetons per cell
**Uncorrected formation energy**: -2115 meV/atom
**Total energy**: -48.2 eV/cell
**Crystal system**: tetragonal

Lattice parameters (Å, degrees): 4.0748 4.0748 8.3795 75.93 75.93 90.00
Atoms (fractional coordinates):
F: 0.3750 0.3330 0.7500
F: 0.6670 0.1250 0.2500
F: 0.0830 0.6250 0.2500
F: 0.8750 0.9170 0.7500
Y: 0.0000 0.0000 0.0000
Y: 0.7500 0.2500 0.5000
P: 0.5000 0.5000 0.0000
P: 0.2500 0.7500 0.5000

***

# 7
The following is a GGA-PBE calculation of a geometry-optimized Y2PF structure, from the Alexandria database.

Output
**Total magnetization**: 1.05 Bohr magnetons per cell
**Uncorrected formation energy**: -1657 meV/atom
**Total energy**: -26.8 eV/cell
**Crystal system**: cubic

Lattice parameters (Å, degrees): 4.7371 4.7371 4.7371 60.00 60.00 60.00
Atoms (fractional coordinates):
P: 0.5000 0.5000 0.5000
Y: 0.7500 0.7500 0.7500
Y: 0.2500 0.2500 0.2500
F: 0.0000 0.0000 0.0000

***

# 8
The following is a GGA-PBE calculation of a geometry-optimized YPF2 structure, from the Alexandria database.

Output
**Total magnetization**: 1.78 Bohr magnetons per cell
**Uncorrected formation energy**: -1712 meV/atom
**Total energy**: -22.5 eV/cell
**Crystal system**: cubic

Lattice parameters (Å, degrees): 4.3792 4.3792 4.3792 60.00 60.00 60.00
Atoms (fractional coordinates):
F: 0.7500 0.7500 0.7500
F: 0.2500 0.2500 0.2500
Y: 0.5000 0.5000 0.5000
P: 0.0000 0.0000 0.0000

***

# 9
The following is a GGA-PBE calculation of a geometry-optimized ZnPF2 structure, from the Alexandria database.

Output
**Total magnetization**: 0.00 Bohr magnetons per cell
**Uncorrected formation energy**: -1155 meV/atom
**Total energy**: -15.0 eV/cell
**Crystal system**: trigonal

Lattice parameters (Å, degrees): 8.6191 8.6191 8.6191 17.98 17.98 17.98
Atoms (fractional coordinates):
F: 0.9330 0.9330 0.9330
F: 0.0670 0.0670 0.0670
P: 0.0000 0.0000 0.0000
Zn: 0.5000 0.5000 0.5000

***

# 10
The following is a GGA-PBE calculation of a geometry-optimized ZnPF2 structure, from the Alexandria database.

Output
**Total magnetization**: 0.94 Bohr magnetons per cell
**Uncorrected formation energy**: -350 meV/atom
**Total energy**: -11.8 eV/cell
**Crystal system**: cubic

Lattice parameters (Å, degrees): 4.2026 4.2026 4.2026 60.00 60.00 60.00
Atoms (fractional coordinates):
Zn: 0.5000 0.5000 0.5000
F: 0.7500 0.7500 0.7500
F: 0.2500 0.2500 0.2500
P: 0.0000 0.0000 0.0000

***

# 11
The following is a GGA-PBE calculation of a geometry-optimized ZnPF3 structure, from the Alexandria database.

Output
**Total magnetization**: 0.00 Bohr magnetons per cell
**Uncorrected formation energy**: -952 meV/atom
**Total energy**: -17.1 eV/cell
**Crystal system**: cubic

Lattice parameters (Å, degrees): 4.1700 4.1700 4.1700 90.00 90.00 90.00
Atoms (fractional coordinates):
P: 0.0000 0.0000 0.0000
Zn: 0.5000 0.5000 0.5000
F: 0.0000 0.0000 0.5000
F: 0.5000 0.0000 0.0000
F: 0.0000 0.5000 0.0000

***

# 12
The following is a GGA-PBE calculation of a geometry-optimized ZnPF2 structure, from the Alexandria database.

Output
**Total magnetization**: 0.00 Bohr magnetons per cell
**Uncorrected formation energy**: -764 meV/atom
**Total energy**: -27.0 eV/cell
**Crystal system**: tetragonal

Lattice parameters (Å, degrees): 5.9496 5.9496 5.7819 59.04 59.04 90.00
Atoms (fractional coordinates):
F: 0.7612 0.1250 0.2500
F: 0.8750 0.0112 0.7500
F: 0.3750 0.2388 0.7500
F: 0.9888 0.6250 0.2500
P: 0.5000 0.5000 0.0000
P: 0.2500 0.7500 0.5000
Zn: 0.7500 0.2500 0.5000
Zn: 0.0000 0.0000 0.0000

***

# 13
The following is a GGA-PBE calculation of a geometry-optimized ZnPF3 structure, from the Alexandria database.

Output
**Total magnetization**: 2.00 Bohr magnetons per cell
**Uncorrected formation energy**: -1043 meV/atom
**Total energy**: -17.5 eV/cell
**Crystal system**: cubic

Lattice parameters (Å, degrees): 4.0995 4.0995 4.0995 90.00 90.00 90.00
Atoms (fractional coordinates):
F: 0.5000 0.0000 0.0000
F: 0.0000 0.5000 0.0000
F: 0.0000 0.0000 0.5000
Zn: 0.0000 0.0000 0.0000
P: 0.5000 0.5000 0.5000

***

# 14
The following is a GGA-PBE calculation of a geometry-optimized ZnPF2 structure, from the Alexandria database.

Output
**Total magnetization**: 0.00 Bohr magnetons per cell
**Uncorrected formation energy**: -748 meV/atom
**Total energy**: -13.4 eV/cell
**Crystal system**: trigonal

Lattice parameters (Å, degrees): 8.0649 8.0649 8.0649 19.25 19.25 19.25
Atoms (fractional coordinates):
F: 0.0919 0.0919 0.0919
F: 0.9081 0.9081 0.9081
Zn: 0.0000 0.0000 0.0000
P: 0.5000 0.5000 0.5000

***

# 15
The following is a GGA-PBE calculation of a geometry-optimized Zn3PF structure, from the Alexandria database.

Output
**Total magnetization**: 0.00 Bohr magnetons per cell
**Uncorrected formation energy**: -130 meV/atom
**Total energy**: -11.8 eV/cell
**Crystal system**: cubic

Lattice parameters (Å, degrees): 4.7716 4.7716 4.7716 90.00 90.00 90.00
Atoms (fractional coordinates):
Zn: 0.5000 0.0000 0.0000
Zn: 0.0000 0.0000 0.5000
Zn: 0.0000 0.5000 0.0000
F: 0.5000 0.5000 0.5000
P: 0.0000 0.0000 0.0000

***

# 16
The following is a GGA-PBE calculation of a geometry-optimized Zn3PF structure, from the Alexandria database.

Output
**Total magnetization**: 0.00 Bohr magnetons per cell
**Uncorrected formation energy**: -12 meV/atom
**Total energy**: -11.2 eV/cell
**Crystal system**: cubic

Lattice parameters (Å, degrees): 4.3602 4.3602 4.3602 90.00 90.00 90.00
Atoms (fractional coordinates):
Zn: 0.0000 0.5000 0.0000
Zn: 0.0000 0.0000 0.5000
Zn: 0.5000 0.0000 0.0000
P: 0.5000 0.5000 0.5000
F: 0.0000 0.0000 0.0000

***

# 17
The following is a GGA-PBE calculation of a geometry-optimized ZnPF structure, from the Alexandria database.

Output
**Total magnetization**: 0.00 Bohr magnetons per cell
**Uncorrected formation energy**: -1138 meV/atom
**Total energy**: -23.9 eV/cell
**Crystal system**: triclinic

Lattice parameters (Å, degrees): 5.0642 6.7172 3.3630 75.63 108.33 83.98
Atoms (fractional coordinates):
F: 0.3235 0.4395 0.6976
F: 0.6765 0.5605 0.3024
Zn: 0.5482 0.7234 0.6604
Zn: 0.4518 0.2766 0.3396
P: 0.1460 0.0081 0.3153
P: 0.8540 0.9919 0.6847

***

# 18
The following is a GGA-PBE calculation of a geometry-optimized ZrPF2 structure, from the Alexandria database.

Output
**Total magnetization**: 0.00 Bohr magnetons per cell
**Uncorrected formation energy**: -1356 meV/atom
**Total energy**: -23.1 eV/cell
**Crystal system**: cubic

Lattice parameters (Å, degrees): 4.2082 4.2082 4.2082 60.00 60.00 60.00
Atoms (fractional coordinates):
F: 0.7500 0.7500 0.7500
F: 0.2500 0.2500 0.2500
P: 0.0000 0.0000 0.0000
Zr: 0.5000 0.5000 0.5000

***

# 19
The following is a GGA-PBE calculation of a geometry-optimized ZrPF2 structure, from the Alexandria database.

Output
**Total magnetization**: 1.70 Bohr magnetons per cell
**Uncorrected formation energy**: -1846 meV/atom
**Total energy**: -50.2 eV/cell
**Crystal system**: tetragonal

Lattice parameters (Å, degrees): 3.9106 3.9106 8.1796 76.17 76.17 90.00
Atoms (fractional coordinates):
Zr: 0.0000 0.0000 0.0000
Zr: 0.7500 0.2500 0.5000
F: 0.8750 0.9656 0.7500
F: 0.3750 0.2844 0.7500
F: 0.0344 0.6250 0.2500
F: 0.7156 0.1250 0.2500
P: 0.2500 0.7500 0.5000
P: 0.5000 0.5000 0.0000

***

# 20
The following is a GGA-PBE calculation of a geometry-optimized ZrP2F structure, from the Alexandria database.

Output
**Total magnetization**: 0.00 Bohr magnetons per cell
**Uncorrected formation energy**: -493 meV/atom
**Total energy**: -23.2 eV/cell
**Crystal system**: cubic

Lattice parameters (Å, degrees): 4.4791 4.4791 4.4791 60.00 60.00 60.00
Atoms (fractional coordinates):
F: 0.0000 0.0000 0.0000
P: 0.2500 0.2500 0.2500
P: 0.7500 0.7500 0.7500
Zr: 0.5000 0.5000 0.5000

***

# 21
The following is a GGA-PBE calculation of a geometry-optimized ZrP2F structure, from the Alexandria database.

Output
**Total magnetization**: 0.00 Bohr magnetons per cell
**Uncorrected formation energy**: -978 meV/atom
**Total energy**: -50.3 eV/cell
**Crystal system**: tetragonal

Lattice parameters (Å, degrees): 3.4357 3.4357 10.2809 80.38 80.38 90.00
Atoms (fractional coordinates):
Zr: 0.0000 0.0000 0.0000
Zr: 0.7500 0.2500 0.5000
P: 0.1540 0.6250 0.2500
P: 0.5960 0.1250 0.2500
P: 0.3750 0.4040 0.7500
P: 0.8750 0.8460 0.7500
F: 0.2500 0.7500 0.5000
F: 0.5000 0.5000 0.0000

***

# 22
The following is a GGA-PBE calculation of a geometry-optimized ZrP2F2 structure, from the Alexandria database.

Output
**Total magnetization**: 0.00 Bohr magnetons per cell
**Uncorrected formation energy**: -1398 meV/atom
**Total energy**: -60.2 eV/cell
**Crystal system**: tetragonal

Lattice parameters (Å, degrees): 5.4300 5.4300 5.2153 90.00 90.00 90.00
Atoms (fractional coordinates):
F: 0.1530 0.3470 0.0000
F: 0.8470 0.6530 0.0000
F: 0.3470 0.8470 0.0000
F: 0.6530 0.1530 0.0000
Zr: 0.0000 0.0000 0.0000
Zr: 0.5000 0.5000 0.0000
P: 0.3489 0.1511 0.5000
P: 0.8489 0.3489 0.5000
P: 0.1511 0.6511 0.5000
P: 0.6511 0.8489 0.5000

***

# 23
The following is a GGA-PBE calculation of a geometry-optimized Zr2PF structure, from the Alexandria database.

Output
**Total magnetization**: 0.00 Bohr magnetons per cell
**Uncorrected formation energy**: -1371 meV/atom
**Total energy**: -29.9 eV/cell
**Crystal system**: cubic

Lattice parameters (Å, degrees): 4.4891 4.4891 4.4891 60.00 60.00 60.00
Atoms (fractional coordinates):
Zr: 0.2500 0.2500 0.2500
Zr: 0.7500 0.7500 0.7500
F: 0.0000 0.0000 0.0000
P: 0.5000 0.5000 0.5000

***

# 24
The following is a GGA-PBE calculation of a geometry-optimized ZrP3F structure, from the Alexandria database.

Output
**Total magnetization**: 0.00 Bohr magnetons per cell
**Uncorrected formation energy**: 39 meV/atom
**Total energy**: -26.5 eV/cell
**Crystal system**: cubic

Lattice parameters (Å, degrees): 4.3171 4.3171 4.3171 90.00 90.00 90.00
Atoms (fractional coordinates):
P: 0.0000 0.5000 0.0000
P: 0.5000 0.0000 0.0000
P: 0.0000 0.0000 0.5000
Zr: 0.5000 0.5000 0.5000
F: 0.0000 0.0000 0.0000

***

# 25
The following is a GGA-PBE calculation of a geometry-optimized ZrPF2 structure, from the Alexandria database.

Output
**Total magnetization**: 0.00 Bohr magnetons per cell
**Uncorrected formation energy**: -1709 meV/atom
**Total energy**: -24.5 eV/cell
**Crystal system**: trigonal

Lattice parameters (Å, degrees): 5.3276 5.3276 5.3276 41.24 41.24 41.24
Atoms (fractional coordinates):
F: 0.7003 0.7003 0.7003
F: 0.2997 0.2997 0.2997
Zr: 0.0000 0.0000 0.0000
P: 0.5000 0.5000 0.5000

***

# 26
The following is a GGA-PBE calculation of a geometry-optimized Zr3PF structure, from the Alexandria database.

Output
**Total magnetization**: 0.94 Bohr magnetons per cell
**Uncorrected formation energy**: -607 meV/atom
**Total energy**: -36.0 eV/cell
**Crystal system**: cubic

Lattice parameters (Å, degrees): 4.4257 4.4257 4.4257 90.00 90.00 90.00
Atoms (fractional coordinates):
Zr: 0.5000 0.0000 0.0000
Zr: 0.0000 0.0000 0.5000
Zr: 0.0000 0.5000 0.0000
F: 0.0000 0.0000 0.0000
P: 0.5000 0.5000 0.5000

***

# 27
The following is a GGA-PBE calculation of a geometry-optimized ZrP2F2 structure, from the Alexandria database.

Output
**Total magnetization**: 0.59 Bohr magnetons per cell
**Uncorrected formation energy**: -1149 meV/atom
**Total energy**: -28.9 eV/cell
**Crystal system**: tetragonal

Lattice parameters (Å, degrees): 3.0786 3.0786 9.4408 80.62 80.62 90.00
Atoms (fractional coordinates):
P: 0.2500 0.7500 0.5000
P: 0.7500 0.2500 0.5000
F: 0.5644 0.5644 0.8713
F: 0.4356 0.4356 0.1287
Zr: 0.0000 0.0000 0.0000

***

# 28
The following is a GGA-PBE calculation of a geometry-optimized ZrPF2 structure, from the Alexandria database.

Output
**Total magnetization**: 0.00 Bohr magnetons per cell
**Uncorrected formation energy**: -1618 meV/atom
**Total energy**: -24.2 eV/cell
**Crystal system**: trigonal

Lattice parameters (Å, degrees): 10.5157 10.5157 10.5157 15.71 15.71 15.71
Atoms (fractional coordinates):
P: 0.0000 0.0000 0.0000
F: 0.1177 0.1177 0.1177
F: 0.8823 0.8823 0.8823
Zr: 0.5000 0.5000 0.5000